! Cu2AgOs, relaxed, DFT GGA-PBE; values from VASP
&SYSTEM
  ibrav = 0, nat = 4, ntyp = 3
/
ATOMIC_SPECIES
Ag 107.87 Ag.upf
Cu 63.55 Cu.upf
Os 190.23 Os.upf
ATOMIC_POSITIONS crystal
Ag 0.0000 0.5000 0.5000
Cu 0.0000 0.0000 0.0000
Os 0.5000 0.0000 0.5000
Cu 0.5000 0.5000 0.0000
CELL_PARAMETERS angstrom
-1.1724 2.3475 -0.3694
-3.8035 -1.5124 2.4600
1.8769 1.5432 3.8506
! **Polymorph energy (0 for the lowest one)**: 0.2880 eV/atom
! **Total magnetic moment**: 0.00 Bohr magnetons per cell
! **SG**: No. 47
! **Uncorrected energy**: -5.02 eV per atom
! **Energy of formation**: 0.551 eV per atom